1.
# Be2Cu3Au3 (GGA-PBE, relaxed)
# * ΔE to the lowest computed polymorph: 0.016 eV per atom
# * energy of formation from the pure elements: -0.45 eV/f.u.
# * space group: Cmcm, No. 63
data_Be2Cu3Au3
_chemical_formula_sum 'Be4 Cu6 Au6'
_cell_length_a 3.758
_cell_length_b 4.941
_cell_length_c 12.748
_cell_angle_alpha 90.00
_cell_angle_beta 90.00
_cell_angle_gamma 112.35
_space_group_name_H-M_alt 'P 1'
_space_group_IT_number 1
loop_
_space_group_symop_operation_xyz
'x,y,z'
loop_
_atom_site_label
_atom_site_type_symbol
_atom_site_fract_x
_atom_site_fract_y
_atom_site_fract_z
Cu1 Cu 0.944 0.887 0.097
Cu2 Cu 0.944 0.887 0.403
Cu3 Cu 0.056 0.113 0.597
Cu4 Cu 0.056 0.113 0.903
Cu5 Cu 0.755 0.511 0.250
Cu6 Cu 0.245 0.489 0.750
Be1 Be 0.738 0.476 0.635
Be2 Be 0.738 0.476 0.865
Be3 Be 0.262 0.524 0.365
Be4 Be 0.262 0.524 0.135
Au1 Au 0.354 0.707 0.553
Au2 Au 0.646 0.293 0.053
Au3 Au 0.468 0.935 0.250
Au4 Au 0.646 0.293 0.447
Au5 Au 0.354 0.707 0.947
Au6 Au 0.532 0.065 0.750

***

2.
# Ba5MgCd2 (GGA-PBE, relaxed)
# * energy of formation from the pure elements: -1.20 eV/f.u.
# * space group: I4/mcm, No. 140
data_Ba5MgCd2
_chemical_formula_sum 'Ba10 Mg2 Cd4'
_cell_length_a 9.603
_cell_length_b 9.603
_cell_length_c 10.596
_cell_angle_alpha 116.95
_cell_angle_beta 116.95
_cell_angle_gamma 90.00
_space_group_name_H-M_alt 'P 1'
_space_group_IT_number 1
loop_
_space_group_symop_operation_xyz
'x,y,z'
loop_
_atom_site_label
_atom_site_type_symbol
_atom_site_fract_x
_atom_site_fract_y
_atom_site_fract_z
Ba1 Ba 0.000 0.000 0.000
Ba2 Ba 0.523 0.694 0.716
Ba3 Ba 0.806 0.977 0.284
Ba4 Ba 0.977 0.477 0.284
Ba5 Ba 0.306 0.806 0.284
Ba6 Ba 0.023 0.523 0.716
Ba7 Ba 0.477 0.306 0.284
Ba8 Ba 0.694 0.194 0.716
Ba9 Ba 0.500 0.500 0.000
Ba10 Ba 0.194 0.023 0.716
Cd1 Cd 0.122 0.378 0.000
Cd2 Cd 0.378 0.878 0.000
Cd3 Cd 0.878 0.622 0.000
Cd4 Cd 0.622 0.122 0.000
Mg1 Mg 0.750 0.750 0.500
Mg2 Mg 0.250 0.250 0.500

***

3.
# YBe2Pd (GGA-PBE, relaxed)
# * ΔE to the lowest computed polymorph: 0.000 eV per atom
# * energy of formation from the pure elements: -0.82 eV/f.u.
# * space group: Fm-3m, No. 225
data_YBe2Pd
_chemical_formula_sum 'Y1 Be2 Pd1'
_cell_length_a 4.374
_cell_length_b 4.374
_cell_length_c 4.374
_cell_angle_alpha 60.00
_cell_angle_beta 60.00
_cell_angle_gamma 60.00
_space_group_name_H-M_alt 'P 1'
_space_group_IT_number 1
loop_
_space_group_symop_operation_xyz
'x,y,z'
loop_
_atom_site_label
_atom_site_type_symbol
_atom_site_fract_x
_atom_site_fract_y
_atom_site_fract_z
Be1 Be 0.750 0.750 0.750
Be2 Be 0.250 0.250 0.250
Y1 Y 0.000 0.000 0.000
Pd1 Pd 0.500 0.500 0.500

***

4.
# LaV2ReS (GGA-PBE, relaxed)
# * raw formation energy: 230 meV per atom
# * space group: P4/mmm, No. 123
data_LaV2ReS
_chemical_formula_sum 'La1 V2 Re1 S1'
_cell_length_a 4.527
_cell_length_b 4.551
_cell_length_c 4.527
_cell_angle_alpha 90.00
_cell_angle_beta 90.00
_cell_angle_gamma 90.00
_space_group_name_H-M_alt 'P 1'
_space_group_IT_number 1
loop_
_space_group_symop_operation_xyz
'x,y,z'
loop_
_atom_site_label
_atom_site_type_symbol
_atom_site_fract_x
_atom_site_fract_y
_atom_site_fract_z
Re1 Re 0.000 0.500 0.000
La1 La 0.500 0.500 0.500
S1 S 0.000 0.000 0.000
V1 V 0.000 0.000 0.500
V2 V 0.500 0.000 0.000

***

Values of total moment, in order: 0.00; 0.01; 0.00; 3.76, all in μB per formula unit.